{
  "formula": "LaTlI3",
  "functional": "GGA-PBE",
  "state": "relaxed",
  "lattice": [[-4.490, -2.486, 3.483], [-1.995, -3.250, -4.892], [3.786, -4.662, 1.553]],
  "species": ["I", "I", "I", "Tl", "La"],
  "fractional_positions": [[0.000, 0.500, 0.000], [0.000, 0.000, 0.500], [0.500, 0.000, 0.000], [0.000, 0.000, 0.000], [0.500, 0.500, 0.500]],
  "magnetic_moment_mub_per_cell": 1.04,
  "vol_a3_per_atom": 47.7,
  "dft_energy_ev_per_fu": -13.3,
  "raw_formation_energy_ev_per_atom": -0.263
}

{
  "formula": "Rb2HfZnCu",
  "functional": "GGA-PBE",
  "state": "relaxed",
  "lattice": [[-6.355, 1.340, -1.292], [0.779, -2.260, -6.175], [-1.177, -4.234, 1.401]],
  "species": ["Zn", "Hf", "Cu", "Rb", "Rb"],
  "fractional_positions": [[0.000, 0.000, 0.500], [0.500, 0.500, 0.500], [0.000, 0.000, 0.000], [0.000, 0.500, 0.000], [0.500, 0.000, 0.000]],
  "magnetic_moment_mub_per_cell": 2.79,
  "vol_a3_per_atom": 40.5,
  "dft_energy_ev_per_fu": -11.5,
  "delta_e_f_ev_per_atom": 1.153
}

{
  "formula": "Dy8Ge3Se4S",
  "functional": "GGA-PBE",
  "state": "relaxed",
  "lattice": [[8.188, 0.000, 0.000], [0.000, 8.216, 0.014], [-4.094, -4.090, 5.793]],
  "species": ["Dy", "Dy", "Dy", "Dy", "Dy", "Dy", "Dy", "Dy", "Ge", "Ge", "Ge", "Se", "Se", "Se", "Se", "S"],
  "fractional_positions": [[0.246, 0.736, 0.989], [0.246, 0.736, 0.493], [0.254, 0.261, 0.507], [0.743, 0.736, 0.989], [0.257, 0.264, 0.011], [0.746, 0.739, 0.493], [0.754, 0.264, 0.507], [0.754, 0.264, 0.011], [0.500, 0.500, 0.000], [0.500, 0.500, 0.500], [0.000, 0.500, 0.500], [0.500, 0.000, 0.000], [0.500, 0.000, 0.500], [0.000, 0.000, 0.000], [0.000, 0.000, 0.500], [0.000, 0.500, 0.000]],
  "magnetic_moment_mub_per_cell": 0.00,
  "vol_a3_per_atom": 24.4,
  "dft_energy_ev_per_fu": -93.5,
  "raw_formation_energy_ev_per_atom": -1.547
}